Record 1
{"formula": "Pr2CdIn3", "functional": "GGA-PBE", "state": "relaxed", "cell": [[-3.760, 1.795, 4.704], [-3.758, -2.820, -4.173], [5.069, -7.061, 3.671]], "species": ["Pr", "Pr", "Pr", "Pr", "Cd", "Cd", "In", "In", "In", "In", "In", "In"], "fractional_positions": [[0.250, 0.750, 0.500], [0.749, 0.749, 0.000], [0.750, 0.250, 0.500], [0.251, 0.251, 0.000], [0.667, 0.667, 0.334], [0.333, 0.333, 0.666], [0.335, 0.833, 0.168], [0.167, 0.665, 0.832], [0.665, 0.167, 0.832], [0.833, 0.335, 0.168], [0.168, 0.168, 0.335], [0.832, 0.832, 0.665]], "dft_energy_ev_per_atom": -3.579, "density_g_cm3": 7.5, "space_group": "No. 69", "magmom_total_mub_per_cell": 0.00, "crystal_system": "orthorhombic"}

Record 2
{"formula": "Pr5Y5Ho2", "functional": "GGA-PBE", "state": "relaxed", "cell": [[5.609, 0.000, 1.265], [3.051, 8.561, -0.459], [0.949, -1.831, 8.859]], "species": ["Pr", "Pr", "Pr", "Pr", "Pr", "Y", "Y", "Y", "Y", "Y", "Ho", "Ho"], "fractional_positions": [[0.665, 0.213, 0.458], [0.993, 0.256, 0.758], [0.007, 0.744, 0.242], [0.335, 0.787, 0.542], [0.000, 0.000, 0.000], [0.000, 0.500, 0.500], [0.669, 0.706, 0.957], [0.330, 0.045, 0.294], [0.670, 0.955, 0.706], [0.331, 0.294, 0.043], [0.336, 0.541, 0.788], [0.664, 0.459, 0.212]], "dft_energy_ev_per_atom": -5.386, "density_g_cm3": 6.1, "space_group": "No. 12", "relative_energy_mev_per_atom": 43, "magmom_total_mub_per_cell": 0.00, "crystal_system": "monoclinic"}

Record 3
{"formula": "Be2Cu2Sn", "functional": "GGA-PBE", "state": "relaxed", "cell": [[6.600, 0.000, 0.000], [0.000, 6.600, 0.000], [0.000, 0.000, 3.002]], "species": ["Be", "Be", "Be", "Be", "Sn", "Sn", "Cu", "Cu", "Cu", "Cu"], "fractional_positions": [[0.374, 0.874, 0.000], [0.874, 0.626, 0.000], [0.626, 0.126, 0.000], [0.126, 0.374, 0.000], [0.000, 0.000, 0.000], [0.500, 0.500, 0.000], [0.151, 0.651, 0.500], [0.651, 0.849, 0.500], [0.849, 0.349, 0.500], [0.349, 0.151, 0.500]], "dft_energy_ev_per_atom": -3.682, "density_g_cm3": 6.7, "space_group": "No. 127", "relative_energy_mev_per_atom": 43, "magmom_total_mub_per_cell": 0.00, "crystal_system": "tetragonal"}

Record 4
{"formula": "CaCo2Au", "functional": "GGA-PBE", "state": "relaxed", "cell": [[-1.335, 4.550, 7.712], [-2.541, 1.950, 8.468], [0.383, 2.360, 8.732]], "species": ["Co", "Co", "Ca", "Au"], "fractional_positions": [[0.995, 0.995, 0.995], [0.505, 0.505, 0.505], [0.750, 0.750, 0.750], [0.250, 0.250, 0.250]], "dft_energy_ev_per_atom": -4.215, "density_g_cm3": 8.7, "space_group": "No. 166", "magmom_total_mub_per_cell": 2.84, "crystal_system": "trigonal"}

Record 5
{"formula": "Sm2GdTi", "functional": "GGA-PBE", "state": "relaxed", "cell": [[-1.762, -1.925, 2.254], [-0.498, -3.356, -0.618], [8.697, -4.147, 5.895]], "species": ["Gd", "Sm", "Sm", "Ti"], "fractional_positions": [[0.500, 0.500, 0.500], [0.258, 0.258, 0.225], [0.742, 0.742, 0.775], [0.000, 0.000, 0.000]], "dft_energy_ev_per_atom": -7.620, "density_g_cm3": 7.3, "space_group": "No. 166", "relative_energy_mev_per_atom": 52, "magmom_total_mub_per_cell": 7.50, "crystal_system": "trigonal"}

Record 6
{"formula": "AcInPtAu2", "functional": "GGA-PBE", "state": "relaxed", "cell": [[-1.780, -3.518, 1.091], [0.638, -1.576, -4.040], [6.452, 0.150, 3.339]], "species": ["Ac", "In", "Pt", "Au", "Au"], "fractional_positions": [[0.429, 0.429, 0.857], [0.192, 0.692, 0.385], [0.842, 0.842, 0.683], [0.702, 0.202, 0.405], [0.047, 0.047, 0.094]], "dft_energy_ev_per_atom": -4.583, "density_g_cm3": 13.0, "space_group": "No. 44", "magmom_total_mub_per_cell": 0.00, "crystal_system": "orthorhombic"}